1.
Entry from OQMD: an optimized crystal structure of Sm2Y3N3 (PBE).

## Properties
Energy   -53.9 eV per cell
Calculated volume   211.3 Å³/cell

Lattice parameters (Å, degrees): 3.598 3.598 16.320 90.00 90.00 90.00
Fractional positions:
Sm (0.000, 0.500, 0.082)
Sm (0.500, 0.000, 0.918)
Y (0.000, 0.000, 0.284)
Y (0.000, 0.000, 0.500)
Y (0.000, 0.000, 0.716)
N (0.000, 0.000, 0.000)
N (0.500, 0.500, 0.000)
N (0.500, 0.500, 0.500)


2.
Entry from OQMD: an optimized crystal structure of SmY2N3 (PBE).

## Properties
Energy   -52.3 eV per cell
Calculated volume   90.7 Å³/cell

Lattice parameters (Å, degrees): 3.497 3.497 8.562 90.00 90.00 120.00
Fractional positions:
Sm (0.000, 0.000, 0.000)
Y (0.333, 0.667, 0.336)
Y (0.667, 0.333, 0.664)
N (0.000, 0.000, 0.500)
N (0.333, 0.667, 0.828)
N (0.667, 0.333, 0.172)


3.
Entry from OQMD: an optimized crystal structure of Sm2ZrN3 (PBE).

## Properties
Energy   -52.3 eV per cell
Calculated volume   87.3 Å³/cell

Lattice parameters (Å, degrees): 3.434 3.434 8.548 90.00 90.00 120.00
Fractional positions:
Sm (0.333, 0.667, 0.329)
Sm (0.667, 0.333, 0.671)
Zr (0.000, 0.000, 0.000)
N (0.000, 0.000, 0.500)
N (0.333, 0.667, 0.856)
N (0.667, 0.333, 0.144)


4.
Entry from OQMD: an optimized crystal structure of Sm3ZrN (PBE).

## Properties
Energy   -33.1 eV per cell
Calculated volume   122.7 Å³/cell

Lattice parameters (Å, degrees): 4.970 4.970 4.970 90.00 90.00 90.00
Fractional positions:
Sm (0.000, 0.000, 0.500)
Sm (0.000, 0.500, 0.000)
Sm (0.500, 0.000, 0.000)
Zr (0.500, 0.500, 0.500)
N (0.000, 0.000, 0.000)


5.
Entry from OQMD: an optimized crystal structure of Ta2SnN (PBE).

## Properties
Energy   -225.4 eV per cell
Calculated volume   375.9 Å³/cell

Lattice parameters (Å, degrees): 5.655 5.655 13.958 101.73 101.73 60.02
Fractional positions:
Ta (0.027, 0.860, 0.581)
Ta (0.140, 0.973, 0.919)
Ta (0.193, 0.361, 0.081)
Ta (0.306, 0.473, 0.419)
Ta (0.361, 0.193, 0.581)
Ta (0.473, 0.306, 0.919)
Ta (0.527, 0.694, 0.081)
Ta (0.639, 0.807, 0.419)
Ta (0.694, 0.527, 0.581)
Ta (0.807, 0.639, 0.919)
Ta (0.860, 0.027, 0.081)
Ta (0.973, 0.140, 0.419)
Sn (0.084, 0.249, 0.750)
Sn (0.249, 0.084, 0.250)
Sn (0.417, 0.583, 0.750)
Sn (0.583, 0.417, 0.250)
Sn (0.751, 0.916, 0.750)
Sn (0.916, 0.751, 0.250)
N (0.000, 0.500, 0.500)
N (0.167, 0.667, 0.000)
N (0.333, 0.833, 0.500)
N (0.500, 0.000, 0.000)
N (0.667, 0.167, 0.500)
N (0.833, 0.333, 0.000)


6.
Entry from OQMD: an optimized crystal structure of Ta2SnN (PBE).

## Properties
Energy   -75.1 eV per cell
Calculated volume   125.0 Å³/cell

Lattice parameters (Å, degrees): 3.260 3.260 13.579 90.00 90.00 120.00
Fractional positions:
Ta (0.333, 0.667, 0.081)
Ta (0.333, 0.667, 0.419)
Ta (0.667, 0.333, 0.581)
Ta (0.667, 0.333, 0.919)
Sn (0.333, 0.667, 0.750)
Sn (0.667, 0.333, 0.250)
N (0.000, 0.000, 0.000)
N (0.000, 0.000, 0.500)


7.
Entry from OQMD: an optimized crystal structure of Y2Ta4Sn3N3 (PBE).

## Properties
Energy   -211.0 eV per cell
Calculated volume   408.7 Å³/cell

Lattice parameters (Å, degrees): 5.840 5.840 14.179 101.92 101.92 60.52
Fractional positions:
Y (0.035, 0.873, 0.603)
Y (0.127, 0.965, 0.897)
Y (0.873, 0.035, 0.103)
Y (0.965, 0.127, 0.397)
Ta (0.194, 0.358, 0.073)
Ta (0.308, 0.471, 0.427)
Ta (0.358, 0.194, 0.573)
Ta (0.471, 0.308, 0.927)
Ta (0.529, 0.692, 0.073)
Ta (0.642, 0.806, 0.427)
Ta (0.692, 0.529, 0.573)
Ta (0.806, 0.642, 0.927)
Sn (0.083, 0.318, 0.751)
Sn (0.318, 0.083, 0.251)
Sn (0.484, 0.516, 0.750)
Sn (0.516, 0.484, 0.250)
Sn (0.682, 0.917, 0.749)
Sn (0.917, 0.682, 0.249)
N (0.000, 0.500, 0.500)
N (0.164, 0.672, 0.000)
N (0.328, 0.836, 0.500)
N (0.500, 0.000, 0.000)
N (0.672, 0.164, 0.500)
N (0.836, 0.328, 0.000)


8.
Entry from OQMD: an optimized crystal structure of Tm4TlSnN2 (PBE).

## Properties
Energy   -49.9 eV per cell
Calculated volume   159.7 Å³/cell

Lattice parameters (Å, degrees): 3.473 3.473 15.292 90.00 90.00 120.00
Fractional positions:
Tm (0.000, 0.000, 0.164)
Tm (0.000, 0.000, 0.836)
Tm (0.333, 0.667, 0.332)
Tm (0.333, 0.667, 0.668)
Tl (0.000, 0.000, 0.500)
Sn (0.333, 0.667, 0.000)
N (0.667, 0.333, 0.248)
N (0.667, 0.333, 0.752)


9.
Entry from OQMD: an optimized crystal structure of TlSnW4N2 (PBE).

## Properties
Energy   -70.8 eV per cell
Calculated volume   116.4 Å³/cell

Lattice parameters (Å, degrees): 2.988 2.988 15.052 90.00 90.00 120.00
Fractional positions:
Tl (0.000, 0.000, 0.000)
Sn (0.333, 0.667, 0.500)
W (0.000, 0.000, 0.343)
W (0.000, 0.000, 0.657)
W (0.333, 0.667, 0.165)
W (0.333, 0.667, 0.835)
N (0.667, 0.333, 0.254)
N (0.667, 0.333, 0.746)


10.
Entry from OQMD: an optimized crystal structure of Zr4TlSnN2 (PBE).

## Properties
Energy   -65.5 eV per cell
Calculated volume   141.2 Å³/cell

Lattice parameters (Å, degrees): 3.316 3.316 14.830 90.00 90.00 120.00
Fractional positions:
Zr (0.000, 0.000, 0.163)
Zr (0.000, 0.000, 0.837)
Zr (0.667, 0.333, 0.332)
Zr (0.667, 0.333, 0.668)
Tl (0.000, 0.000, 0.500)
Sn (0.667, 0.333, 0.000)
N (0.333, 0.667, 0.250)
N (0.333, 0.667, 0.750)


11.
Entry from OQMD: an optimized crystal structure of SnW2N (PBE).

## Properties
Energy   -221.4 eV per cell
Calculated volume   363.3 Å³/cell

Lattice parameters (Å, degrees): 5.575 5.575 14.192 104.58 104.58 59.37
Fractional positions:
Sn (0.115, 0.885, 0.750)
Sn (0.213, 0.437, 0.257)
Sn (0.437, 0.213, 0.757)
Sn (0.563, 0.787, 0.243)
Sn (0.787, 0.563, 0.743)
Sn (0.885, 0.115, 0.250)
W (0.037, 0.180, 0.570)
W (0.147, 0.313, 0.916)
W (0.180, 0.037, 0.070)
W (0.313, 0.147, 0.416)
W (0.410, 0.418, 0.594)
W (0.418, 0.410, 0.094)
W (0.582, 0.590, 0.906)
W (0.590, 0.582, 0.406)
W (0.687, 0.853, 0.584)
W (0.820, 0.963, 0.930)
W (0.853, 0.687, 0.084)
W (0.963, 0.820, 0.430)
N (0.000, 0.500, 0.500)
N (0.244, 0.652, 0.969)
N (0.348, 0.756, 0.531)
N (0.500, 0.000, 0.000)
N (0.652, 0.244, 0.469)
N (0.756, 0.348, 0.031)


12.
Entry from OQMD: an optimized crystal structure of SnW2N (PBE).

## Properties
Energy   -73.0 eV per cell
Calculated volume   116.0 Å³/cell

Lattice parameters (Å, degrees): 3.085 3.085 14.073 90.00 90.00 120.00
Fractional positions:
Sn (0.333, 0.667, 0.250)
Sn (0.667, 0.333, 0.750)
W (0.333, 0.667, 0.586)
W (0.333, 0.667, 0.914)
W (0.667, 0.333, 0.086)
W (0.667, 0.333, 0.414)
N (0.000, 0.000, 0.000)
N (0.000, 0.000, 0.500)


13.
Entry from OQMD: an optimized crystal structure of Y4Sn3W2N3 (PBE).

## Properties
Energy   -193.7 eV per cell
Calculated volume   435.5 Å³/cell

Lattice parameters (Å, degrees): 5.940 5.940 14.630 101.50 101.50 60.11
Fractional positions:
Y (0.031, 0.199, 0.091)
Y (0.139, 0.299, 0.409)
Y (0.199, 0.031, 0.591)
Y (0.299, 0.139, 0.909)
Y (0.701, 0.861, 0.091)
Y (0.801, 0.969, 0.409)
Y (0.861, 0.701, 0.591)
Y (0.969, 0.801, 0.909)
Sn (0.127, 0.873, 0.250)
Sn (0.293, 0.415, 0.750)
Sn (0.415, 0.293, 0.250)
Sn (0.585, 0.707, 0.750)
Sn (0.707, 0.585, 0.250)
Sn (0.873, 0.127, 0.750)
W (0.368, 0.524, 0.076)
W (0.476, 0.632, 0.424)
W (0.524, 0.368, 0.576)
W (0.632, 0.476, 0.924)
N (0.000, 0.500, 0.000)
N (0.179, 0.661, 0.500)
N (0.339, 0.821, 0.000)
N (0.500, 0.000, 0.500)
N (0.661, 0.179, 0.000)
N (0.821, 0.339, 0.500)


14.
Entry from OQMD: an optimized crystal structure of ZnSnW4N2 (PBE).

## Properties
Energy   -71.4 eV per cell
Calculated volume   108.9 Å³/cell

Lattice parameters (Å, degrees): 2.892 2.892 15.036 90.00 90.00 120.00
Fractional positions:
Zn (0.000, 0.000, 0.000)
Sn (0.333, 0.667, 0.500)
W (0.000, 0.000, 0.339)
W (0.000, 0.000, 0.661)
W (0.333, 0.667, 0.150)
W (0.333, 0.667, 0.850)
N (0.667, 0.333, 0.244)
N (0.667, 0.333, 0.756)


15.
Entry from OQMD: an optimized crystal structure of Zr4Sn3W2N3 (PBE).

## Properties
Energy   -209.3 eV per cell
Calculated volume   397.6 Å³/cell

Lattice parameters (Å, degrees): 5.798 5.798 14.064 101.80 101.80 59.91
Fractional positions:
Zr (0.022, 0.203, 0.086)
Zr (0.145, 0.303, 0.413)
Zr (0.203, 0.022, 0.586)
Zr (0.303, 0.145, 0.913)
Zr (0.697, 0.855, 0.087)
Zr (0.797, 0.978, 0.414)
Zr (0.855, 0.697, 0.587)
Zr (0.978, 0.797, 0.914)
Sn (0.108, 0.892, 0.250)
Sn (0.274, 0.417, 0.749)
Sn (0.417, 0.274, 0.249)
Sn (0.583, 0.726, 0.751)
Sn (0.726, 0.583, 0.251)
Sn (0.892, 0.108, 0.750)
W (0.369, 0.525, 0.074)
W (0.475, 0.631, 0.426)
W (0.525, 0.369, 0.574)
W (0.631, 0.475, 0.926)
N (0.000, 0.500, 0.000)
N (0.161, 0.669, 0.500)
N (0.331, 0.839, 0.000)
N (0.500, 0.000, 0.500)
N (0.669, 0.161, 0.000)
N (0.839, 0.331, 0.500)


16.
Entry from OQMD: an optimized crystal structure of Zr2Sn3W4N3 (PBE).

## Properties
Energy   -215.6 eV per cell
Calculated volume   375.9 Å³/cell

Lattice parameters (Å, degrees): 5.685 5.685 13.776 101.85 101.85 60.36
Fractional positions:
Zr (0.030, 0.855, 0.593)
Zr (0.145, 0.970, 0.907)
Zr (0.855, 0.030, 0.093)
Zr (0.970, 0.145, 0.407)
Sn (0.080, 0.286, 0.748)
Sn (0.286, 0.080, 0.248)
Sn (0.449, 0.551, 0.750)
Sn (0.551, 0.449, 0.250)
Sn (0.714, 0.920, 0.752)
Sn (0.920, 0.714, 0.252)
W (0.192, 0.376, 0.077)
W (0.322, 0.457, 0.424)
W (0.376, 0.192, 0.577)
W (0.457, 0.322, 0.924)
W (0.543, 0.678, 0.076)
W (0.624, 0.808, 0.423)
W (0.678, 0.543, 0.576)
W (0.808, 0.624, 0.923)
N (0.000, 0.500, 0.500)
N (0.162, 0.678, 0.000)
N (0.322, 0.838, 0.500)
N (0.500, 0.000, 0.000)
N (0.678, 0.162, 0.500)
N (0.838, 0.322, 0.000)


17.
Entry from OQMD: an optimized crystal structure of Y4Zr2Sn3N3 (PBE).

## Properties
Energy   -187.8 eV per cell
Calculated volume   470.3 Å³/cell

Lattice parameters (Å, degrees): 6.025 6.025 15.346 101.38 101.38 60.11
Fractional positions:
Y (0.034, 0.193, 0.089)
Y (0.132, 0.304, 0.411)
Y (0.193, 0.034, 0.589)
Y (0.304, 0.132, 0.911)
Y (0.696, 0.868, 0.089)
Y (0.807, 0.966, 0.411)
Y (0.868, 0.696, 0.589)
Y (0.966, 0.807, 0.911)
Zr (0.357, 0.526, 0.078)
Zr (0.474, 0.643, 0.422)
Zr (0.526, 0.357, 0.578)
Zr (0.643, 0.474, 0.922)
Sn (0.115, 0.885, 0.250)
Sn (0.283, 0.416, 0.751)
Sn (0.416, 0.283, 0.251)
Sn (0.584, 0.717, 0.749)
Sn (0.717, 0.584, 0.249)
Sn (0.885, 0.115, 0.750)
N (0.000, 0.500, 0.000)
N (0.179, 0.661, 0.500)
N (0.339, 0.821, 0.000)
N (0.500, 0.000, 0.500)
N (0.661, 0.179, 0.000)
N (0.821, 0.339, 0.500)


18.
Entry from OQMD: an optimized crystal structure of ZnSnN2 (PBE).

## Properties
Energy   -43.5 eV per cell
Calculated volume   109.8 Å³/cell

Lattice parameters (Å, degrees): 5.880 5.880 5.880 132.07 132.07 70.12
Fractional positions:
Zn (0.000, 0.000, 0.000)
Zn (0.750, 0.250, 0.500)
Sn (0.250, 0.750, 0.500)
Sn (0.500, 0.500, 0.000)
N (0.122, 0.125, 0.497)
N (0.375, 0.878, 0.003)
N (0.628, 0.625, 0.503)
N (0.875, 0.372, 0.997)


19.
Entry from OQMD: an optimized crystal structure of ZrSn2N (PBE).

## Properties
Energy   -48.3 eV per cell
Calculated volume   145.5 Å³/cell

Lattice parameters (Å, degrees): 3.256 3.256 15.848 90.00 90.00 120.00
Fractional positions:
Zr (0.333, 0.667, 0.250)
Zr (0.667, 0.333, 0.750)
Sn (0.333, 0.667, 0.595)
Sn (0.333, 0.667, 0.905)
Sn (0.667, 0.333, 0.095)
Sn (0.667, 0.333, 0.405)
N (0.000, 0.000, 0.000)
N (0.000, 0.000, 0.500)